# 1
Below is a geometry-optimized Nd4NiRuCl2 structure, with properties calculated at the PBE-GGA level.

Computed properties:
Energy relative to the elements, uncorrected, meV per atom: -926
Calculated total energy, eV/cell: -45.2
Space-group type: No. 10
Spin magnetization, μB per formula unit: 0.00

The structure in CIF format:
```
data_Nd4NiRuCl2
_chemical_formula_sum 'Nd4 Ni1 Ru1 Cl2'
_symmetry_space_group_name_H-M 'P 1'
_symmetry_Int_Tables_number 1
_cell_length_a 4.040
_cell_length_b 6.949
_cell_length_c 7.953
_cell_angle_alpha 106.82
_cell_angle_beta 90.00
_cell_angle_gamma 90.00
loop_
_symmetry_equiv_pos_as_xyz
'x,y,z'
loop_
_atom_site_label
_atom_site_type_symbol
_atom_site_fract_x
_atom_site_fract_y
_atom_site_fract_z
_atom_site_occupancy
Nd1 Nd 0.000 0.266 0.792 1
Ru1 Ru 0.500 0.500 0.000 1
Cl1 Cl 0.500 0.000 0.500 1
Nd2 Nd 0.500 0.767 0.799 1
Ni1 Ni 0.000 0.000 0.000 1
Cl2 Cl 0.000 0.500 0.500 1
Nd3 Nd 0.000 0.734 0.208 1
Nd4 Nd 0.500 0.233 0.201 1
```


# 2
Below is a geometry-optimized AgPd6Pt2 structure, with properties calculated at the PBE-GGA level.

Computed properties:
Calculated total energy, eV/cell: -90.5
Space-group type: No. 15
ΔE_f, eV per atom: 0.095
Spin magnetization, μB per formula unit: 0.00

The structure in CIF format:
```
data_AgPd6Pt2
_chemical_formula_sum 'Ag2 Pd12 Pt4'
_symmetry_space_group_name_H-M 'P 1'
_symmetry_Int_Tables_number 1
_cell_length_a 5.053
_cell_length_b 8.846
_cell_length_c 8.846
_cell_angle_alpha 48.23
_cell_angle_beta 97.20
_cell_angle_gamma 97.20
loop_
_symmetry_equiv_pos_as_xyz
'x,y,z'
loop_
_atom_site_label
_atom_site_type_symbol
_atom_site_fract_x
_atom_site_fract_y
_atom_site_fract_z
_atom_site_occupancy
Pd1 Pd 0.638 0.551 0.599 1
Pd2 Pd 0.158 0.765 0.027 1
Pt1 Pt 0.046 0.350 0.198 1
Pd3 Pd 0.362 0.449 0.401 1
Pd4 Pd 0.342 0.973 0.235 1
Pt2 Pt 0.954 0.650 0.802 1
Pt3 Pt 0.546 0.198 0.350 1
Pd5 Pd 0.138 0.599 0.551 1
Ag1 Ag 0.750 0.824 0.176 1
Ag2 Ag 0.250 0.176 0.824 1
Pd6 Pd 0.658 0.027 0.765 1
Pt4 Pt 0.454 0.802 0.650 1
Pd7 Pd 0.842 0.235 0.973 1
Pd8 Pd 0.383 0.390 0.950 1
Pd9 Pd 0.862 0.401 0.449 1
Pd10 Pd 0.617 0.610 0.050 1
Pd11 Pd 0.883 0.950 0.390 1
Pd12 Pd 0.117 0.050 0.610 1
```


# 3
Below is a geometry-optimized RbMgTcGe2 structure, with properties calculated at the PBE-GGA level.

Computed properties:
Calculated total energy, eV/cell: -11.0
Space-group type: No. 123
ΔE_f, eV per atom: 2.227
Spin magnetization, μB per formula unit: 3.26

The structure in CIF format:
```
data_RbMgTcGe2
_chemical_formula_sum 'Rb1 Mg1 Tc1 Ge2'
_symmetry_space_group_name_H-M 'P 1'
_symmetry_Int_Tables_number 1
_cell_length_a 5.468
_cell_length_b 5.418
_cell_length_c 5.468
_cell_angle_alpha 90.00
_cell_angle_beta 90.00
_cell_angle_gamma 90.00
loop_
_symmetry_equiv_pos_as_xyz
'x,y,z'
loop_
_atom_site_label
_atom_site_type_symbol
_atom_site_fract_x
_atom_site_fract_y
_atom_site_fract_z
_atom_site_occupancy
Rb1 Rb 0.000 0.000 0.000 1
Mg1 Mg 0.000 0.500 0.000 1
Tc1 Tc 0.500 0.500 0.500 1
Ge1 Ge 0.500 0.000 0.000 1
Ge2 Ge 0.000 0.000 0.500 1
```


# 4
Below is a geometry-optimized In2CoB structure, with properties calculated at the PBE-GGA level.

Computed properties:
Calculated total energy, eV/cell: -30.7
Space-group type: No. 122
ΔE_f, eV per atom: 0.974
Spin magnetization, μB per formula unit: 1.21

The structure in CIF format:
```
data_In2CoB
_chemical_formula_sum 'In4 Co2 B2'
_symmetry_space_group_name_H-M 'P 1'
_symmetry_Int_Tables_number 1
_cell_length_a 6.778
_cell_length_b 6.778
_cell_length_c 5.671
_cell_angle_alpha 53.30
_cell_angle_beta 53.30
_cell_angle_gamma 90.00
loop_
_symmetry_equiv_pos_as_xyz
'x,y,z'
loop_
_atom_site_label
_atom_site_type_symbol
_atom_site_fract_x
_atom_site_fract_y
_atom_site_fract_z
_atom_site_occupancy
B1 B 0.250 0.750 0.500 1
Co1 Co 0.750 0.250 0.500 1
In1 In 0.875 0.838 0.750 1
In2 In 0.375 0.412 0.750 1
In3 In 0.162 0.625 0.250 1
B2 B 0.500 0.500 0.000 1
In4 In 0.588 0.125 0.250 1
Co2 Co 0.000 0.000 0.000 1
```


> spin magnetization of number 3 (RbMgTcGe2)?

3.26 μB per formula unit


> What is the spin magnetization in the second record?

0.00 μB per formula unit